4
Lattice="6.051 0.014 0.048 -2.427 4.282 0.020 1.198 0.668 2.343" Properties=species:S:1:pos:R:3 comment="Cr2AgAu | Alexandria | GGA-PBE | relaxed" sg="Cmmm (65)" ef_ev_per_atom=0.6144 magmom_total_mub_per_cell=3.1 e_above_lowest_polymorph_mev_per_atom=435 pbc="T T T"
Ag -0.614 2.475 1.181
Au 1.812 2.148 0.034
Cr 0.000 0.000 0.000
Cr 3.625 0.341 1.195